Entry 1:
A plane-wave DFT calculation with PBE was carried out for Sr2Cu6NiRh after structural relaxation.

The structure in POSCAR format:
```
Sr2Cu6NiRh
1.0
6.363 -0.001 0.050
-0.006 6.398 0.010
3.217 3.211 4.518
Cu Sr Rh Ni
6 2 1 1
Cartesian
5.000 4.617 3.550 Cu
5.474 6.911 2.303 Cu
4.575 4.991 1.028 Cu
5.502 8.706 4.275 Cu
4.101 2.697 2.275 Cu
4.073 0.901 0.303 Cu
7.160 3.204 1.753 Sr
2.414 6.403 2.825 Sr
3.179 3.199 0.030 Rh
0.000 0.000 0.000 Ni
```

uncorrected energy	-4.125	eV/atom
theoretical density	6.5	g/cm3
symmetry	P-1
DFT formation energy	-18	meV/atom



Entry 2:
A plane-wave DFT calculation with PBE was carried out for KNa4Te4 after structural relaxation.

The structure in POSCAR format:
```
KNa4Te4
1.0
-3.581 -3.772 -3.858
8.425 -2.817 -5.065
1.272 -7.821 6.465
Te Na K
8 8 2
Cartesian
1.328 -3.305 0.856 Te
0.535 -10.878 0.410 Te
2.753 -6.510 -5.917 Te
0.214 -7.919 0.966 Te
5.150 -7.283 -4.236 Te
7.616 -8.125 -0.267 Te
1.730 -3.900 -2.086 Te
5.139 -9.717 0.438 Te
3.120 -11.730 -1.111 Na
-0.720 -5.349 -0.724 Na
2.638 -9.324 2.418 Na
7.223 -5.759 -2.260 Na
4.260 -4.262 -4.035 Na
1.692 -5.701 2.817 Na
6.054 -9.883 -2.578 Na
0.197 -5.627 -4.364 Na
0.000 0.000 0.000 K
3.058 -7.205 -1.229 K
```

uncorrected energy	-2.784	eV/atom
theoretical density	3.1	g/cm3
energy relative to the elements, uncorrected	-0.6797	eV per atom
symmetry	P4_2/n



- The highest theoretical density belongs to which entry?
  Sr2Cu6NiRh